A relaxed structure of TbCeNiAu, computed with PBE.

a = 5.0302 Å, b = 5.0302 Å, c = 5.0302 Å
α = 60.00°, β = 60.00°, γ = 60.00°
With the nearest neighbours (Å) after each atom.
Element x y z (fractional)
Tb 0.0000 0.0000 0.0000  4 Ni 3.08, 4 Au 3.08
Ce 0.5000 0.5000 0.5000  4 Ni 3.08, 4 Au 3.08
Ni 0.7500 0.7500 0.7500  4 Tb 3.08, 4 Ce 3.08
Au 0.2500 0.2500 0.2500  4 Tb 3.08, 4 Ce 3.08

Values from the calculation:
- SG: F-43m (216)
- Total DFT energy (no corrections): -5.356 eV per atom
- Spin magnetization: 0.1776 μB/atom

A relaxed structure of CeThNiAu, computed with PBE.

a = 5.0899 Å, b = 5.0899 Å, c = 5.0899 Å
α = 60.00°, β = 60.00°, γ = 60.00°
With the nearest neighbours (Å) after each atom.
Element x y z (fractional)
Ce 0.0000 0.0000 0.0000  4 Ni 3.12, 4 Au 3.12
Th 0.5000 0.5000 0.5000  4 Au 3.12, 4 Ni 3.12
Ni 0.2500 0.2500 0.2500  4 Th 3.12, 4 Ce 3.12
Au 0.7500 0.7500 0.7500  4 Ce 3.12, 4 Th 3.12

Values from the calculation:
- SG: F-43m (216)
- Total DFT energy (no corrections): -5.954 eV per atom
- Spin magnetization: 0.1646 μB/atom

A relaxed structure of CeYNiAu, computed with PBE.

a = 5.0296 Å, b = 5.0296 Å, c = 5.0296 Å
α = 60.00°, β = 60.00°, γ = 60.00°
With the nearest neighbours (Å) after each atom.
Element x y z (fractional)
Ce 0.0000 0.0000 0.0000  4 Ni 3.08, 4 Au 3.08
Y 0.5000 0.5000 0.5000  4 Au 3.08, 4 Ni 3.08
Ni 0.7500 0.7500 0.7500  4 Y 3.08, 4 Ce 3.08
Au 0.2500 0.2500 0.2500  4 Y 3.08, 4 Ce 3.08

Values from the calculation:
- SG: F-43m (216)
- Total DFT energy (no corrections): -5.814 eV per atom
- Spin magnetization: 0.1780 μB/atom

- Which value of spin magnetization does entry 1 give?
  0.1776 μB/atom

- total DFT energy (no corrections) of number 1 (TbCeNiAu)?
  -5.356 eV per atom

- Among the records above, which one has the lowest spin magnetization?
  CeThNiAu